MgAg2Ru | GGA-PBE | optimized geometry

Results
Symmetry: C2/m, No. 12
Energy of formation in eV/atom: 0.2206
Total energy in eV per atom: -3.92

POSCAR file:
```
MgAg2Ru
1.0
-2.171 -0.589 5.072
-3.079 -1.050 -4.496
-0.278 -2.731 0.158
Ag Mg Ru
2 1 1
direct
0.500 0.500 0.000 Ag
0.000 0.000 0.000 Ag
0.500 0.000 0.500 Mg
0.000 0.500 0.500 Ru
```